[1]
# DyCoB2, relaxed, DFT GGA-PBE
# - DFT formation energy (eV/atom) = -0.243
# - crystal system = orthorhombic
# - size of the total moment (μB/f.u.) = 0.00
# - distance to the lowest polymorph of the same formula (eV/atom) = 0.286
data_DyCoB2
_chemical_formula_sum 'Dy4 Co4 B8'
_space_group_name_H-M_alt 'P n m a'
_space_group_IT_number 62
_space_group_name_Hall '-P 2ac 2n'
_cell_length_a 5.8505
_cell_length_b 3.1666
_cell_length_c 10.1435
_cell_angle_alpha 90.00
_cell_angle_beta 90.00
_cell_angle_gamma 90.00
loop_
_atom_site_label
_atom_site_type_symbol
_atom_site_fract_x
_atom_site_fract_y
_atom_site_fract_z
Dy1 Dy 0.2410 0.2500 0.2033
Co1 Co 0.0903 0.7500 0.4260
B1 B 0.0587 0.2500 0.9468
B2 B 0.2261 0.7500 0.9897


[2]
# Y2Ga4Au3, relaxed, DFT GGA-PBE
# - DFT formation energy (eV/atom) = -0.586
# - crystal system = orthorhombic
# - size of the total moment (μB/f.u.) = 0.00
data_Y2Ga4Au3
_chemical_formula_sum 'Y8 Ga16 Au12'
_space_group_name_H-M_alt 'C m c e'
_space_group_IT_number 64
_space_group_name_Hall '-C 2ac 2'
_cell_length_a 5.9225
_cell_length_b 15.4619
_cell_length_c 7.7455
_cell_angle_alpha 90.00
_cell_angle_beta 90.00
_cell_angle_gamma 90.00
loop_
_atom_site_label
_atom_site_type_symbol
_atom_site_fract_x
_atom_site_fract_y
_atom_site_fract_z
Y1 Y 0.0000 0.1069 0.0908
Ga1 Ga 0.0000 0.1752 0.4772
Ga2 Ga 0.2500 0.0620 0.7500
Au1 Au 0.0000 0.0000 0.5000
Au2 Au 0.2500 0.2327 0.7500


[3]
# Sr3PmDy2Te6, relaxed, DFT GGA-PBE
# - crystal system = monoclinic
# - size of the total moment (μB/f.u.) = 0.00
# - VASP energy (eV/cell) = -111.90
data_Sr3PmDy2Te6
_chemical_formula_sum 'Sr6 Pm2 Dy4 Te12'
_space_group_name_H-M_alt 'C 1 2/m 1'
_space_group_IT_number 12
_space_group_name_Hall '-C 2y'
_cell_length_a 7.8127
_cell_length_b 13.5129
_cell_length_c 8.0003
_cell_angle_alpha 90.00
_cell_angle_beta 109.00
_cell_angle_gamma 90.00
loop_
_atom_site_label
_atom_site_type_symbol
_atom_site_fract_x
_atom_site_fract_y
_atom_site_fract_z
Sr1 Sr 0.0000 0.0000 0.0000
Sr2 Sr 0.0000 0.3359 0.0000
Pm1 Pm 0.0000 0.5000 0.5000
Dy1 Dy 0.0000 0.1677 0.5000
Te1 Te 0.2375 0.0000 0.7318
Te2 Te 0.2479 0.3304 0.7341


[4]
# CaAlH2, relaxed, DFT GGA-PBE
# - crystal system = cubic
# - size of the total moment (μB/f.u.) = 0.00
# - distance to the lowest polymorph of the same formula (eV/atom) = 0.196
data_CaAlH2
_chemical_formula_sum 'Ca4 Al4 H8'
_space_group_name_H-M_alt 'F m -3 m'
_space_group_IT_number 225
_space_group_name_Hall '-F 4 2 3'
_cell_length_a 5.9711
_cell_length_b 5.9711
_cell_length_c 5.9711
_cell_angle_alpha 90.00
_cell_angle_beta 90.00
_cell_angle_gamma 90.00
loop_
_atom_site_label
_atom_site_type_symbol
_atom_site_fract_x
_atom_site_fract_y
_atom_site_fract_z
Ca1 Ca 0.0000 0.0000 0.0000
Al1 Al 0.0000 0.0000 0.5000
H1 H 0.2500 0.2500 0.2500


[5]
# Na2PbAu9, relaxed, DFT GGA-PBE
# - DFT formation energy (eV/atom) = -0.177
# - crystal system = trigonal
# - size of the total moment (μB/f.u.) = 0.00
data_Na2PbAu9
_chemical_formula_sum 'Na6 Pb3 Au27'
_space_group_name_H-M_alt 'R -3 m'
_space_group_IT_number 166
_space_group_name_Hall '-R 3 2"'
_cell_length_a 5.6142
_cell_length_b 5.6142
_cell_length_c 28.0310
_cell_angle_alpha 90.00
_cell_angle_beta 90.00
_cell_angle_gamma 120.00
loop_
_atom_site_label
_atom_site_type_symbol
_atom_site_fract_x
_atom_site_fract_y
_atom_site_fract_z
Na1 Na 0.0000 0.0000 0.1439
Pb1 Pb 0.0000 0.0000 0.0000
Au1 Au 0.0000 0.0000 0.3325
Au2 Au 0.0000 0.0000 0.5000
Au3 Au 0.0028 0.5014 0.9145


[6]
# LaTc2Ru, relaxed, DFT GGA-PBE
# - DFT formation energy (eV/atom) = 0.623
# - crystal system = tetragonal
# - size of the total moment (μB/f.u.) = 0.00
# - distance to the lowest polymorph of the same formula (eV/atom) = 0.379
data_LaTc2Ru
_chemical_formula_sum 'La1 Tc2 Ru1'
_space_group_name_H-M_alt 'P 4/m m m'
_space_group_IT_number 123
_space_group_name_Hall '-P 4 2'
_cell_length_a 4.7452
_cell_length_b 4.7452
_cell_length_c 3.1399
_cell_angle_alpha 90.00
_cell_angle_beta 90.00
_cell_angle_gamma 90.00
loop_
_atom_site_label
_atom_site_type_symbol
_atom_site_fract_x
_atom_site_fract_y
_atom_site_fract_z
La1 La 0.0000 0.0000 0.0000
Tc1 Tc 0.0000 0.5000 0.5000
Ru1 Ru 0.5000 0.5000 0.0000